# Hf3MoF

A geometry-optimized Hf3MoF structure (PBEsol, Alexandria).

Output
For the density of states at the Fermi level, the calculation gives 5.71 states/eV/cell. The value obtained for the total energy is -8.30 eV per atom. As for the raw formation energy: 740 meV/atom.

Cell lengths 4.973, 4.973, 4.973 Å; angles 90.00, 90.00, 90.00 degrees
Positions (direct):
1 Hf 0.000 0.000 0.500
2 Hf 0.000 0.500 0.000
3 Hf 0.500 0.000 0.000
4 Mo 0.000 0.000 0.000
5 F 0.500 0.500 0.500